1.
4
Lattice="5.390 0.000 0.000 2.695 4.668 0.000 2.695 1.556 4.401" Properties=species:S:1:pos:R:3 comment="SmGdLuAg | Alexandria | PBE | relaxed" crystal_system=cubic formation_enthalpy_0k_mev_per_atom=37 n_ef_per_ev_fu=3.482 pbc="T T T"
Gd 0.000 0.000 0.000
Lu 8.085 4.668 3.301
Ag 2.695 1.556 1.100
Sm 5.390 3.112 2.200

=====

2.
4
Lattice="-4.286 -0.485 -2.909 -0.529 -4.073 -3.193 -3.472 -3.721 1.083" Properties=species:S:1:pos:R:3 comment="GdLuAgSn | Alexandria | PBE | relaxed" crystal_system=cubic formation_enthalpy_0k_mev_per_atom=-498 n_ef_per_ev_fu=4.129 pbc="T T T"
Gd -4.144 -4.140 -2.510
Lu 0.000 0.000 0.000
Sn -2.072 -2.070 -1.255
Ag -6.216 -6.209 -3.765

=====

3.
4
Lattice="-1.228 4.716 -2.225 0.662 0.730 -5.266 -4.273 0.418 -3.204" Properties=species:S:1:pos:R:3 comment="TbGdLuAg | Alexandria | PBE | relaxed" crystal_system=cubic formation_enthalpy_0k_mev_per_atom=36 n_ef_per_ev_fu=3.260 pbc="T T T"
Tb -2.420 2.933 -5.348
Gd 0.000 0.000 0.000
Lu -1.210 1.466 -2.674
Ag -3.630 4.399 -8.022

=====

4.
4
Lattice="-3.132 -2.130 -3.176 0.600 -4.742 -1.257 -3.206 -3.405 1.599" Properties=species:S:1:pos:R:3 comment="GdLuTcAg | Alexandria | PBE | relaxed" crystal_system=cubic formation_enthalpy_0k_mev_per_atom=-130 n_ef_per_ev_fu=2.545 pbc="T T T"
Gd 0.000 0.000 0.000
Lu -2.869 -5.139 -1.417
Tc -4.303 -7.708 -2.126
Ag -1.434 -2.569 -0.709

=====

5.
4
Lattice="-0.841 2.482 -2.274 -3.083 0.373 1.547 2.803 4.969 4.388" Properties=species:S:1:pos:R:3 comment="GdMgAg2 | Alexandria | PBE | relaxed" crystal_system=tetragonal formation_enthalpy_0k_mev_per_atom=-251 n_ef_per_ev_fu=2.881 pbc="T T T"
Mg -1.962 1.428 -0.363
Gd -0.560 3.912 1.830
Ag 2.192 3.885 3.431
Ag 0.611 1.084 0.957

=====

6.
4
Lattice="3.432 0.000 0.000 0.000 5.080 0.000 0.000 0.000 5.080" Properties=species:S:1:pos:R:3 comment="GdMgAg2 | Alexandria | PBE | relaxed" crystal_system=tetragonal formation_enthalpy_0k_mev_per_atom=-184 n_ef_per_ev_fu=3.649 pbc="T T T"
Mg 1.716 0.000 0.000
Gd 1.716 2.540 2.540
Ag 0.000 0.000 2.540
Ag 0.000 2.540 0.000

=====

7.
4
Lattice="4.955 0.002 0.002 2.480 4.295 0.000 2.480 1.432 4.049" Properties=species:S:1:pos:R:3 comment="GdMgAg2 | Alexandria | PBE | relaxed" crystal_system=cubic formation_enthalpy_0k_mev_per_atom=-279 n_ef_per_ev_fu=3.272 pbc="T T T"
Mg 2.478 1.432 1.013
Gd 7.436 4.296 3.038
Ag 4.960 5.726 4.049
Ag 4.956 2.865 2.026

=====

8.
4
Lattice="5.344 0.000 0.000 2.672 4.628 0.000 2.672 1.543 4.363" Properties=species:S:1:pos:R:3 comment="NdGdMgAg | Alexandria | PBE | relaxed" crystal_system=cubic formation_enthalpy_0k_mev_per_atom=-149 n_ef_per_ev_fu=4.532 pbc="T T T"
Mg 8.016 4.628 3.272
Gd 5.344 3.085 2.182
Nd 0.000 0.000 0.000
Ag 2.672 1.543 1.091

=====

9.
4
Lattice="5.168 0.000 0.000 2.584 4.476 0.000 2.584 1.492 4.220" Properties=species:S:1:pos:R:3 comment="GdMgAgPb | Alexandria | PBE | relaxed" crystal_system=cubic formation_enthalpy_0k_mev_per_atom=-315 n_ef_per_ev_fu=2.081 pbc="T T T"
Pb 0.000 0.000 0.000
Mg 2.584 1.492 1.055
Gd 7.752 4.476 3.165
Ag 5.168 2.984 2.110

=====

10.
4
Lattice="-1.921 -2.671 4.186 -4.336 -3.043 -0.545 0.427 -5.304 0.198" Properties=species:S:1:pos:R:3 comment="PmGdMgAg | Alexandria | PBE | relaxed" crystal_system=cubic formation_enthalpy_0k_mev_per_atom=-151 n_ef_per_ev_fu=4.537 pbc="T T T"
Mg -4.372 -8.263 2.880
Gd 0.000 0.000 0.000
Ag -1.457 -2.754 0.960
Pm -2.915 -5.509 1.920

=====

11.
4
Lattice="-4.753 1.336 2.098 -1.013 -0.967 5.178 -0.349 4.075 3.471" Properties=species:S:1:pos:R:3 comment="PrGdMgAg | Alexandria | PBE | relaxed" crystal_system=cubic formation_enthalpy_0k_mev_per_atom=-148 n_ef_per_ev_fu=5.147 pbc="T T T"
Pr -1.529 1.111 2.687
Mg 0.000 0.000 0.000
Gd -4.586 3.333 8.061
Ag -3.057 2.222 5.374

=====

12.
4
Lattice="4.811 0.000 0.000 2.405 4.166 0.000 2.405 1.389 3.928" Properties=species:S:1:pos:R:3 comment="GdMgAgRu | Alexandria | PBE | relaxed" crystal_system=cubic formation_enthalpy_0k_mev_per_atom=-136 n_ef_per_ev_fu=1.620 pbc="T T T"
Ru 0.000 0.000 0.000
Mg 7.216 4.166 2.946
Gd 2.405 1.389 0.982
Ag 4.811 2.777 1.964

=====

Copy entry 12 word for word.
4
Lattice="4.811 0.000 0.000 2.405 4.166 0.000 2.405 1.389 3.928" Properties=species:S:1:pos:R:3 comment="GdMgAgRu | Alexandria | PBE | relaxed" crystal_system=cubic formation_enthalpy_0k_mev_per_atom=-136 n_ef_per_ev_fu=1.620 pbc="T T T"
Ru 0.000 0.000 0.000
Mg 7.216 4.166 2.946
Gd 2.405 1.389 0.982
Ag 4.811 2.777 1.964